No. 1
VASP calculation (GGA-PBE) on a geometry-optimized GaHPd3 structure.

Cell lengths 5.303, 5.303, 5.303 Å; angles 74.91, 74.91, 74.91 degrees
Fractional positions:
H: 0.250 0.250 0.250
H: 0.750 0.750 0.750
Ga: 0.000 0.000 0.000
Ga: 0.500 0.500 0.500
Pd: 0.973 0.527 0.250
Pd: 0.527 0.250 0.973
Pd: 0.250 0.973 0.527
Pd: 0.750 0.027 0.473
Pd: 0.473 0.750 0.027
Pd: 0.027 0.473 0.750

Values from the calculation:
Calculated density = 9.5 g/cm³
Symmetry = No. 167
V = 13.599 Å³/atom
DFT total energy = -46.3 eV for the cell shown

=====

No. 2
VASP calculation (GGA-PBE) on a geometry-optimized AcMgSc2Tl4 structure.

Cell lengths 5.043, 5.043, 10.361 Å; angles 75.92, 75.92, 60.00 degrees
Fractional positions:
Ac: 0.000 0.000 0.000
Mg: 0.500 0.500 0.500
Sc: 0.768 0.768 0.696
Sc: 0.232 0.232 0.304
Tl: 0.394 0.394 0.818
Tl: 0.873 0.873 0.381
Tl: 0.127 0.127 0.619
Tl: 0.606 0.606 0.182

Values from the calculation:
Calculated density = 8.8 g/cm³
Energy of formation = -0.219 eV per atom
Symmetry = No. 166
V = 27.374 Å³/atom

=====

No. 3
VASP calculation (GGA-PBE) on a geometry-optimized Ac12Pm3Pr structure.

Cell lengths 5.536, 5.536, 22.071 Å; angles 90.00, 90.00, 90.00 degrees
Fractional positions:
Ac: 0.500 0.500 0.000
Ac: 0.500 0.500 0.251
Ac: 0.500 0.500 0.500
Ac: 0.500 0.500 0.749
Ac: 0.500 0.000 0.126
Ac: 0.500 0.000 0.375
Ac: 0.500 0.000 0.625
Ac: 0.500 0.000 0.874
Ac: 0.000 0.500 0.126
Ac: 0.000 0.500 0.375
Ac: 0.000 0.500 0.625
Ac: 0.000 0.500 0.874
Pm: 0.000 0.000 0.250
Pm: 0.000 0.000 0.500
Pm: 0.000 0.000 0.750
Pr: 0.000 0.000 0.000

Values from the calculation:
Calculated density = 8.1 g/cm³
Energy of formation = 0.024 eV per atom
Symmetry = No. 123
V = 42.276 Å³/atom

=====

No. 4
VASP calculation (GGA-PBE) on a geometry-optimized ReWAu2 structure.

Cell lengths 4.328, 2.779, 6.146 Å; angles 62.73, 90.00, 90.00 degrees
Fractional positions:
Au: 0.000 0.001 0.999
Au: 0.000 0.499 0.501
Re: 0.500 0.250 0.250
W: 0.500 0.750 0.750

Values from the calculation:
Calculated density = 19.3 g/cm³
Energy of formation = 0.530 eV per atom
Symmetry = No. 10
V = 16.424 Å³/atom

=====

No. 5
VASP calculation (GGA-PBE) on a geometry-optimized LaTlSeN2 structure.

Cell lengths 4.382, 4.382, 5.486 Å; angles 90.00, 90.00, 90.00 degrees
Fractional positions:
Tl: 0.000 0.000 0.000
N: 0.000 0.500 0.000
N: 0.500 0.000 0.000
Se: 0.000 0.000 0.500
La: 0.500 0.500 0.500

Values from the calculation:
Calculated density = 7.1 g/cm³
Symmetry = No. 123
Uncorrected formation energy = 629 meV per atom
V = 21.065 Å³/atom

=====

No. 6
VASP calculation (GGA-PBE) on a geometry-optimized YZr3Ti structure.

Cell lengths 5.078, 5.078, 5.078 Å; angles 90.00, 90.00, 90.00 degrees
Fractional positions:
Y: 0.500 0.500 0.500
Zr: 0.000 0.500 0.000
Zr: 0.000 0.000 0.500
Zr: 0.500 0.000 0.000
Ti: 0.000 0.000 0.000

Values from the calculation:
Calculated density = 5.2 g/cm³
Energy of formation = 0.557 eV per atom
Symmetry = No. 221
V = 26.189 Å³/atom

=====

No. 7
VASP calculation (GGA-PBE) on a geometry-optimized Nd3Sm2Er6 structure.

Cell lengths 6.157, 6.166, 11.623 Å; angles 84.90, 79.75, 60.05 degrees
Fractional positions:
Nd: 0.000 0.000 0.000
Nd: 0.336 0.328 0.000
Nd: 0.664 0.672 0.000
Sm: 0.167 0.667 0.500
Sm: 0.833 0.333 0.500
Er: 0.417 0.667 0.748
Er: 0.750 0.000 0.748
Er: 0.084 0.333 0.748
Er: 0.250 0.000 0.252
Er: 0.583 0.333 0.252
Er: 0.916 0.667 0.252

Values from the calculation:
Calculated density = 7.7 g/cm³
Energy of formation = 0.193 eV per atom
Symmetry = No. 12
V = 34.200 Å³/atom

=====

No. 8
VASP calculation (GGA-PBE) on a geometry-optimized BaCa2Zn structure.

Cell lengths 5.917, 5.917, 5.917 Å; angles 60.00, 60.00, 60.00 degrees
Fractional positions:
Zn: 0.750 0.750 0.750
Ca: 0.000 0.000 0.000
Ca: 0.250 0.250 0.250
Ba: 0.500 0.500 0.500

Values from the calculation:
Calculated density = 3.2 g/cm³
Energy of formation = 0.055 eV per atom
Symmetry = No. 216
V = 36.615 Å³/atom

=====

No. 9
VASP calculation (GGA-PBE) on a geometry-optimized Mn2CrOsN structure.

Cell lengths 3.766, 3.766, 3.841 Å; angles 90.00, 90.00, 90.00 degrees
Fractional positions:
Cr: 0.000 0.000 0.500
Mn: 0.000 0.500 0.000
Mn: 0.500 0.000 0.000
Os: 0.500 0.500 0.500
N: 0.000 0.000 0.000

Values from the calculation:
Calculated density = 11.2 g/cm³
Symmetry = No. 123
Uncorrected formation energy = -98 meV per atom
V = 10.896 Å³/atom

=====

No. 10
VASP calculation (GGA-PBE) on a geometry-optimized NaDy2NbO6 structure.

Cell lengths 5.687, 5.687, 6.007 Å; angles 61.74, 61.74, 60.00 degrees
Fractional positions:
Na: 0.798 0.798 0.606
Dy: 0.523 0.523 0.431
Dy: 0.021 0.021 0.936
Nb: 0.317 0.317 0.050
O: 0.577 0.230 0.231
O: 0.230 0.962 0.231
O: 0.962 0.577 0.231
O: 0.391 0.692 0.766
O: 0.692 0.150 0.766
O: 0.150 0.391 0.766

Values from the calculation:
Calculated density = 6.3 g/cm³
Symmetry = No. 146
Uncorrected formation energy = -2982 meV per atom
V = 14.090 Å³/atom

=====

No. 11
VASP calculation (GGA-PBE) on a geometry-optimized ZrCr structure.

Cell lengths 3.063, 6.016, 7.723 Å; angles 90.00, 95.20, 90.00 degrees
Fractional positions:
Cr: 0.500 0.840 0.500
Cr: 0.500 0.160 0.500
Cr: 0.500 0.340 0.000
Cr: 0.500 0.660 0.000
Zr: 0.100 0.000 0.798
Zr: 0.900 0.000 0.202
Zr: 0.100 0.500 0.298
Zr: 0.900 0.500 0.702

Values from the calculation:
Calculated density = 6.7 g/cm³
Energy of formation = 0.237 eV per atom
Symmetry = No. 12
V = 17.716 Å³/atom

=====

No. 12
VASP calculation (GGA-PBE) on a geometry-optimized HfMgCr2Pd structure.

Cell lengths 4.607, 4.562, 4.607 Å; angles 90.00, 90.00, 90.00 degrees
Fractional positions:
Cr: 0.000 0.000 0.500
Cr: 0.500 0.000 0.000
Mg: 0.000 0.500 0.000
Hf: 0.500 0.500 0.500
Pd: 0.000 0.000 0.000

Values from the calculation:
Calculated density = 7.1 g/cm³
Energy of formation = 1.203 eV per atom
Symmetry = No. 123
V = 19.363 Å³/atom

=====

No. 13
VASP calculation (GGA-PBE) on a geometry-optimized Pr5Er2Ge4 structure.

Cell lengths 3.856, 8.358, 13.134 Å; angles 124.07, 98.44, 90.00 degrees
Fractional positions:
Pr: 0.101 0.775 0.201
Pr: 0.899 0.225 0.799
Pr: 0.163 0.353 0.326
Pr: 0.500 0.000 0.000
Pr: 0.837 0.647 0.674
Er: 0.733 0.805 0.465
Er: 0.267 0.195 0.535
Ge: 0.605 0.493 0.209
Ge: 0.971 0.674 0.942
Ge: 0.395 0.507 0.791
Ge: 0.029 0.326 0.058

Values from the calculation:
Calculated density = 6.4 g/cm³
Energy of formation = -0.284 eV per atom
Symmetry = No. 12
V = 31.367 Å³/atom

=====

No. 14
VASP calculation (GGA-PBE) on a geometry-optimized K2IrW structure.

Cell lengths 10.551, 10.551, 4.022 Å; angles 79.70, 79.70, 17.19 degrees
Fractional positions:
Ir: 0.750 0.750 0.750
K: 0.106 0.106 0.884
K: 0.394 0.394 0.616
W: 0.250 0.250 0.250

Values from the calculation:
Calculated density = 5.8 g/cm³
Energy of formation = 0.657 eV per atom
Symmetry = No. 12
V = 32.536 Å³/atom

=====

No. 15
VASP calculation (GGA-PBE) on a geometry-optimized AlHg structure.

Cell lengths 5.161, 5.161, 7.989 Å; angles 90.00, 90.00, 120.00 degrees
Fractional positions:
Al: 0.333 0.667 0.086
Al: 0.667 0.333 0.586
Al: 0.667 0.333 0.914
Al: 0.333 0.667 0.414
Hg: 0.000 0.000 0.250
Hg: 0.000 0.000 0.750
Hg: 0.333 0.667 0.750
Hg: 0.667 0.333 0.250

Values from the calculation:
Calculated density = 8.2 g/cm³
Energy of formation = 0.305 eV per atom
Symmetry = No. 194
V = 23.040 Å³/atom

=====

No. 16
VASP calculation (GGA-PBE) on a geometry-optimized Pb2Au structure.

Cell lengths 7.960, 7.960, 4.429 Å; angles 90.00, 90.00, 120.00 degrees
Fractional positions:
Au: 0.333 0.667 0.000
Au: 0.667 0.333 0.000
Au: 0.000 0.000 0.500
Pb: 0.260 0.000 0.000
Pb: 0.000 0.260 0.000
Pb: 0.740 0.740 0.000
Pb: 0.597 0.000 0.500
Pb: 0.000 0.597 0.500
Pb: 0.403 0.403 0.500

Values from the calculation:
Calculated density = 12.5 g/cm³
Energy of formation = -0.056 eV per atom
Symmetry = No. 189
V = 27.002 Å³/atom

=====

No. 17
VASP calculation (GGA-PBE) on a geometry-optimized Sr2Cr structure.

Cell lengths 5.981, 5.981, 3.542 Å; angles 90.00, 90.00, 120.00 degrees
Fractional positions:
Cr: 0.000 0.000 0.000
Sr: 0.333 0.667 0.500
Sr: 0.667 0.333 0.500

Values from the calculation:
Calculated density = 3.4 g/cm³
Energy of formation = 0.780 eV per atom
Symmetry = No. 191
V = 36.579 Å³/atom

=====

No. 18
VASP calculation (GGA-PBE) on a geometry-optimized Nb3GePd structure.

Cell lengths 4.837, 4.837, 4.837 Å; angles 90.00, 90.00, 90.00 degrees
Fractional positions:
Nb: 0.000 0.500 0.000
Nb: 0.000 0.000 0.500
Nb: 0.500 0.000 0.000
Ge: 0.500 0.500 0.500
Pd: 0.000 0.000 0.000

Values from the calculation:
Calculated density = 6.7 g/cm³
Energy of formation = 1.213 eV per atom
Symmetry = No. 221
V = 22.640 Å³/atom

=====

No. 19
VASP calculation (GGA-PBE) on a geometry-optimized NaEu2S structure.

Cell lengths 3.983, 3.983, 11.063 Å; angles 79.63, 79.63, 60.00 degrees
Fractional positions:
Eu: 0.114 0.114 0.659
Eu: 0.886 0.886 0.341
Na: 0.000 0.000 0.000
S: 0.500 0.500 0.500

Values from the calculation:
Calculated density = 4.0 g/cm³
Symmetry = No. 166
Uncorrected formation energy = -895 meV per atom
V = 37.170 Å³/atom

=====

No. 20
VASP calculation (GGA-PBE) on a geometry-optimized NiH4Rh structure.

Cell lengths 2.990, 2.990, 4.223 Å; angles 89.99, 90.00, 90.00 degrees
Fractional positions:
Ni: 0.001 0.997 0.498
H: 0.501 0.997 0.258
H: 0.501 0.997 0.738
H: 0.001 0.497 0.738
H: 0.001 0.497 0.258
Rh: 0.501 0.497 0.998

Values from the calculation:
Calculated density = 7.3 g/cm³
Symmetry = No. 123
V = 6.292 Å³/atom
DFT total energy = -26.5 eV for the cell shown